A plane-wave DFT calculation with PBE was carried out for a geometry-optimized SrZn2AgAu structure.

Unit cell a=4.275 b=4.429 c=11.692 alpha=90.00 beta=90.00 gamma=90.00
Space group Imm2 (No. 44)
Unique sites:
Sr (0.000, 0.000, 0.000) x2
Zn (0.000, 0.000, 0.380) x2
Zn (0.000, 0.500, 0.249) x2
Ag (0.000, 0.500, 0.752) x2
Au (0.000, 0.000, 0.602) x2

Results
The total energy comes out at -2.4174 eV per atom. Its density of states at the Fermi level is 3.80 states/eV/cell. As for the formation energy from the elements: -7.97 kcal/mol of atoms.